(1)
TbLuAgPt after structural relaxation, computed with PBE.

Cell and atoms, written as POSCAR:
```
TbLuAgPt
1.0
4.982 0.000 0.000
2.491 4.315 0.000
2.491 1.438 4.068
Lu Tb Ag Pt
1 1 1 1
Cartesian
4.982 2.877 2.034
0.000 0.000 0.000
2.491 1.438 1.017
7.474 4.315 3.051
```

Summary:
For the formation energy, the calculation gives -3.2 eV per formula unit. As for the volume: 87.5 Å³/f.u. The spin magnetization comes out at 0.000 Bohr magnetons per cell.

(2)
LuTiAgPt after structural relaxation, computed with PBE.

Cell and atoms, written as POSCAR:
```
LuTiAgPt
1.0
-3.056 -1.426 -3.338
1.609 -1.996 -3.993
-0.675 -4.632 -0.776
Lu Ag Pt Ti
1 1 1 1
Cartesian
-1.061 -4.027 -4.053
-1.592 -6.041 -6.080
-0.531 -2.014 -2.027
0.000 0.000 0.000
```

Summary:
For the formation energy, the calculation gives -2.1 eV per formula unit. As for the volume: 75.6 Å³/f.u. The spin magnetization comes out at 0.867 Bohr magnetons per cell.

(3)
LuTlAgPt after structural relaxation, computed with PBE.

Cell and atoms, written as POSCAR:
```
LuTlAgPt
1.0
-0.110 -3.629 -3.235
3.826 -0.793 -2.895
2.778 -3.935 0.665
Tl Lu Ag Pt
1 1 1 1
Cartesian
3.247 -4.179 -2.733
0.000 0.000 0.000
1.623 -2.089 -1.366
4.870 -6.268 -4.099
```

Summary:
For the formation energy, the calculation gives -1.9 eV per formula unit. As for the volume: 81.3 Å³/f.u. The spin magnetization comes out at 0.000 Bohr magnetons per cell.

What did the second record say?
LuTiAgPt after structural relaxation, computed with PBE.

Cell and atoms, written as POSCAR:
```
LuTiAgPt
1.0
-3.056 -1.426 -3.338
1.609 -1.996 -3.993
-0.675 -4.632 -0.776
Lu Ag Pt Ti
1 1 1 1
Cartesian
-1.061 -4.027 -4.053
-1.592 -6.041 -6.080
-0.531 -2.014 -2.027
0.000 0.000 0.000
```

Summary:
For the formation energy, the calculation gives -2.1 eV per formula unit. As for the volume: 75.6 Å³/f.u. The spin magnetization comes out at 0.867 Bohr magnetons per cell.

Which value of spin magnetization does entry 2 give?
0.867 Bohr magnetons per cell

Which value of spin magnetization does entry 3 give?
0.000 Bohr magnetons per cell